Density functional theory data (PBE) for Tl3CrBi2S6 after structural relaxation.

Geometry as POSCAR:
```
Tl3CrBi2S6
1.0
-5.482 -2.317 -3.441
5.934 -3.455 -0.339
-2.149 -2.136 7.124
Tl Cr Bi S
3 1 2 6
Direct
0.173 0.827 0.500
0.827 0.173 0.500
0.500 0.500 0.500
0.000 0.000 0.000
0.333 0.667 0.000
0.667 0.333 0.000
0.937 0.644 0.809
0.774 0.774 0.202
0.063 0.356 0.191
0.644 0.937 0.809
0.226 0.226 0.798
0.356 0.063 0.191
```

Calculated values
- electronic total energy (eV for the cell shown) = -54.50
- raw formation energy (eV/atom) = -0.437
- crystal system = monoclinic

---

Density functional theory data (PBE) for LaRh2W after structural relaxation.

Geometry as POSCAR:
```
LaRh2W
1.0
4.975 0.000 0.000
0.000 4.975 0.000
0.000 0.000 2.954
La Rh W
1 2 1
Direct
0.000 0.000 0.500
0.500 0.000 0.000
0.000 0.500 0.000
0.500 0.500 0.500
```

Calculated values
- N(E_F) (states/eV per atom) = 0.7726
- electronic total energy (eV for the cell shown) = -32.48
- energy of formation from the pure elements (eV/f.u.) = 0.1
- energy above the lowest structure with this stoichiometry (meV per atom) = 220
- crystal system = tetragonal

---

Density functional theory data (PBE) for PrNi4Ir after structural relaxation.

Geometry as POSCAR:
```
PrNi4Ir
1.0
6.018 0.000 0.000
3.009 5.211 0.000
3.009 1.737 4.913
Pr Ni Ir
1 4 1
Direct
0.750 0.750 0.750
0.594 0.218 0.594
0.594 0.594 0.594
0.218 0.594 0.594
0.594 0.594 0.218
0.000 0.000 0.000
```

Calculated values
- N(E_F) (states/eV per atom) = 2.8389
- electronic total energy (eV for the cell shown) = -24.85
- energy of formation from the pure elements (eV/f.u.) = 11.9
- crystal system = cubic

---

Density functional theory data (PBE) for TaCuSi after structural relaxation.

Geometry as POSCAR:
```
TaCuSi
1.0
-2.359 -2.805 1.192
2.112 -0.483 -3.188
2.486 -1.307 1.844
Si Cu Ta
1 1 1
Direct
0.667 0.333 0.500
0.333 0.667 0.500
0.000 0.000 0.000
```

Calculated values
- N(E_F) (states/eV per atom) = 0.1757
- electronic total energy (eV for the cell shown) = -22.03
- raw formation energy (eV/atom) = -0.220
- crystal system = hexagonal

---

Density functional theory data (PBE) for ScZnGa2Ni5 after structural relaxation.

Geometry as POSCAR:
```
ScZnGa2Ni5
1.0
-0.985 -2.986 -1.938
-1.211 -1.610 3.096
-8.338 3.639 -1.370
Sc Zn Ga Ni
1 1 2 5
Direct
0.000 0.000 0.500
0.000 0.000 0.000
0.500 0.500 0.133
0.500 0.500 0.867
0.000 0.500 0.295
0.500 0.000 0.295
0.000 0.500 0.705
0.500 0.000 0.705
0.500 0.500 0.500
```

Calculated values
- N(E_F) (states/eV per atom) = 0.7233
- electronic total energy (eV for the cell shown) = -44.23
- energy of formation from the pure elements (eV/f.u.) = -1.7
- crystal system = tetragonal

---

Density functional theory data (PBE) for ScTe4Au after structural relaxation.

Geometry as POSCAR:
```
ScTe4Au
1.0
-5.801 3.707 -1.615
-4.033 -5.331 2.250
0.072 2.693 6.508
Sc Te Au
2 8 2
Direct
0.000 0.000 0.000
0.500 0.500 0.000
0.884 0.623 0.114
0.616 0.123 0.886
0.381 0.390 0.381
0.119 0.890 0.619
0.116 0.377 0.886
0.384 0.877 0.114
0.619 0.610 0.619
0.881 0.110 0.381
0.500 0.000 0.500
0.000 0.500 0.500
```

Calculated values
- N(E_F) (states/eV per atom) = 0.2821
- electronic total energy (eV for the cell shown) = -49.51
- raw formation energy (eV/atom) = -0.430
- energy above the lowest structure with this stoichiometry (meV per atom) = 0
- crystal system = monoclinic

---

Density functional theory data (PBE) for Li7Ag4Hg after structural relaxation.

Geometry as POSCAR:
```
Li7Ag4Hg
1.0
4.889 0.000 0.000
2.444 7.083 1.103
2.444 1.243 6.401
Li Ag Hg
7 4 1
Direct
0.798 0.872 0.533
0.202 0.128 0.467
0.074 0.587 0.266
0.926 0.413 0.734
0.236 0.737 0.791
0.500 0.000 0.000
0.764 0.263 0.209
0.558 0.288 0.596
0.442 0.712 0.404
0.684 0.635 0.997
0.316 0.365 0.003
0.000 0.000 0.000
```

Calculated values
- N(E_F) (states/eV per atom) = 0.4107
- electronic total energy (eV for the cell shown) = -26.54
- energy of formation from the pure elements (eV/f.u.) = -1.4
- crystal system = monoclinic

---

Density functional theory data (PBE) for Mg3GaPt after structural relaxation.

Geometry as POSCAR:
```
Mg3GaPt
1.0
-2.152 5.544 -3.052
-3.067 -0.147 5.938
6.332 -0.492 1.163
Mg Ga Pt
6 2 2
Direct
0.855 0.037 0.261
0.224 0.407 0.261
0.776 0.593 0.739
0.712 0.446 0.158
0.145 0.963 0.739
0.288 0.554 0.842
0.701 0.085 0.785
0.299 0.915 0.215
0.627 0.768 0.395
0.373 0.232 0.605
```

Calculated values
- N(E_F) (states/eV per atom) = 0.3886
- electronic total energy (eV for the cell shown) = -31.82
- energy of formation from the pure elements (eV/f.u.) = -2.1
- energy above the lowest structure with this stoichiometry (meV per atom) = 80
- crystal system = monoclinic

---

What is the electronic total energy in the second record?
-32.48 eV for the cell shown

---

What is the formula in the seventh record?
Li7Ag4Hg

---

Please write out number 8 again, unchanged.
Density functional theory data (PBE) for Mg3GaPt after structural relaxation.

Geometry as POSCAR:
```
Mg3GaPt
1.0
-2.152 5.544 -3.052
-3.067 -0.147 5.938
6.332 -0.492 1.163
Mg Ga Pt
6 2 2
Direct
0.855 0.037 0.261
0.224 0.407 0.261
0.776 0.593 0.739
0.712 0.446 0.158
0.145 0.963 0.739
0.288 0.554 0.842
0.701 0.085 0.785
0.299 0.915 0.215
0.627 0.768 0.395
0.373 0.232 0.605
```

Calculated values
- N(E_F) (states/eV per atom) = 0.3886
- electronic total energy (eV for the cell shown) = -31.82
- energy of formation from the pure elements (eV/f.u.) = -2.1
- energy above the lowest structure with this stoichiometry (meV per atom) = 80
- crystal system = monoclinic

---

The lowest electronic total energy belongs to which entry?
Tl3CrBi2S6